Entry 1:
A relaxed structure of BaMg2Tl, computed with PBE.

Computed properties:
**Offset from the most stable computed form**: 14.0 kJ/mol of atoms
**ΔH_f (0 K)**: -41 meV/atom

The structure in CIF format:
```
data_BaMg2Tl
_cell_length_a 4.8758
_cell_length_b 5.0668
_cell_length_c 5.3232
_cell_angle_alpha 90.00
_cell_angle_beta 90.00
_cell_angle_gamma 90.00
_space_group_name_H-M_alt 'P m m m'
_space_group_IT_number 47
loop_
_space_group_symop_operation_xyz
'x,y,z'
'-x,-y,-z'
'-x,-y,z'
'x,y,-z'
'x,-y,-z'
'-x,y,z'
'-x,y,-z'
'x,-y,z'
loop_
_atom_site_label
_atom_site_type_symbol
_atom_site_fract_x
_atom_site_fract_y
_atom_site_fract_z
Ba1 Ba 0.0000 0.0000 0.0000
Mg1 Mg 0.0000 0.5000 0.5000
Mg2 Mg 0.5000 0.0000 0.5000
Tl1 Tl 0.5000 0.5000 0.0000
```



Entry 2:
A relaxed structure of CdIn2FeSn, computed with PBE.

Computed properties:
**ΔH_f (0 K)**: 138 meV/atom

The structure in CIF format:
```
data_CdIn2FeSn
_cell_length_a 5.0741
_cell_length_b 5.0741
_cell_length_c 4.8978
_cell_angle_alpha 90.00
_cell_angle_beta 90.00
_cell_angle_gamma 90.00
_space_group_name_H-M_alt 'P 4/m m m'
_space_group_IT_number 123
_space_group_name_Hall '-P 4 2'
loop_
_atom_site_label
_atom_site_type_symbol
_atom_site_fract_x
_atom_site_fract_y
_atom_site_fract_z
Cd1 Cd 0.0000 0.0000 0.0000
In1 In 0.0000 0.5000 0.5000
Fe1 Fe 0.5000 0.5000 0.5000
Sn1 Sn 0.5000 0.5000 0.0000
```



Entry 3:
A relaxed structure of Cs4TeN12, computed with PBE.

Computed properties:
**Energy relative to the elements, uncorrected**: -17.7 kJ per mole of atoms

The structure in CIF format:
```
data_Cs4TeN12
_cell_length_a 9.9740
_cell_length_b 9.9740
_cell_length_c 9.9740
_cell_angle_alpha 90.00
_cell_angle_beta 90.00
_cell_angle_gamma 90.00
_space_group_name_H-M_alt 'I m -3'
_space_group_IT_number 204
_space_group_name_Hall '-I 2 2 3'
loop_
_atom_site_label
_atom_site_type_symbol
_atom_site_fract_x
_atom_site_fract_y
_atom_site_fract_z
Cs1 Cs 0.2500 0.2500 0.2500
Te1 Te 0.0000 0.0000 0.0000
N1 N 0.0000 0.4430 0.1495
```



Entry 4:
A relaxed structure of ZrRuCl3, computed with PBE.

Computed properties:
**Offset from the most stable computed form**: 21.9 kJ/mol of atoms
**Energy relative to the elements, uncorrected**: 23.1 kJ per mole of atoms

The structure in CIF format:
```
data_ZrRuCl3
_cell_length_a 4.7536
_cell_length_b 4.7536
_cell_length_c 4.7536
_cell_angle_alpha 90.00
_cell_angle_beta 90.00
_cell_angle_gamma 90.00
_space_group_name_H-M_alt 'P m -3 m'
_space_group_IT_number 221
_space_group_name_Hall '-P 4 2 3'
loop_
_atom_site_label
_atom_site_type_symbol
_atom_site_fract_x
_atom_site_fract_y
_atom_site_fract_z
Zr1 Zr 0.0000 0.0000 0.0000
Ru1 Ru 0.5000 0.5000 0.5000
Cl1 Cl 0.0000 0.5000 0.5000
```



Entry 5:
A relaxed structure of Ba4PIr, computed with PBE.

Computed properties:
**ΔH_f (0 K)**: 818 meV/atom

The structure in CIF format:
```
data_Ba4PIr
_cell_length_a 9.4672
_cell_length_b 9.4672
_cell_length_c 9.4672
_cell_angle_alpha 90.00
_cell_angle_beta 90.00
_cell_angle_gamma 90.00
_space_group_name_H-M_alt 'F -4 3 m'
_space_group_IT_number 216
_space_group_name_Hall 'F -4 2 3'
loop_
_atom_site_label
_atom_site_type_symbol
_atom_site_fract_x
_atom_site_fract_y
_atom_site_fract_z
Ba1 Ba 0.1250 0.1250 0.1250
P1 P 0.0000 0.0000 0.5000
Ir1 Ir 0.2500 0.2500 0.7500
```



Entry 6:
A relaxed structure of ZnAsRuS2, computed with PBE.

Computed properties:
**Energy relative to the elements, uncorrected**: 111.8 kJ per mole of atoms

The structure in CIF format:
```
data_ZnAsRuS2
_cell_length_a 4.5285
_cell_length_b 4.5285
_cell_length_c 4.8576
_cell_angle_alpha 90.00
_cell_angle_beta 90.00
_cell_angle_gamma 90.00
_space_group_name_H-M_alt 'P 4/m m m'
_space_group_IT_number 123
_space_group_name_Hall '-P 4 2'
loop_
_atom_site_label
_atom_site_type_symbol
_atom_site_fract_x
_atom_site_fract_y
_atom_site_fract_z
Zn1 Zn 0.0000 0.0000 0.0000
As1 As 0.5000 0.5000 0.5000
Ru1 Ru 0.0000 0.0000 0.5000
S1 S 0.0000 0.5000 0.0000
```



Entry 7:
A relaxed structure of Si2RhBr, computed with PBE.

Computed properties:
**Offset from the most stable computed form**: 32.6 kJ/mol of atoms
**Energy relative to the elements, uncorrected**: 28.7 kJ per mole of atoms

The structure in CIF format:
```
data_Si2RhBr
_cell_length_a 2.9548
_cell_length_b 4.7918
_cell_length_c 9.9269
_cell_angle_alpha 90.00
_cell_angle_beta 90.00
_cell_angle_gamma 90.00
_space_group_name_H-M_alt 'I m m 2'
_space_group_IT_number 44
loop_
_space_group_symop_operation_xyz
'x,y,z'
'-x,-y,z'
'-x,y,z'
'x,-y,z'
'x+1/2,y+1/2,z+1/2'
'-x+1/2,-y+1/2,z+1/2'
'-x+1/2,y+1/2,z+1/2'
'x+1/2,-y+1/2,z+1/2'
loop_
_atom_site_label
_atom_site_type_symbol
_atom_site_fract_x
_atom_site_fract_y
_atom_site_fract_z
Si1 Si 0.0000 0.0000 0.0000
Si2 Si 0.0000 0.5000 0.2544
Rh1 Rh 0.0000 0.0000 0.5686
Br1 Br 0.0000 0.5000 0.8206
```



Ordered spin magnetization results: 0.00; 0.00; 4.26; 1.76; 0.00; 1.84; 0.00; unit μB per cell.